(1)
This record from the Alexandria database describes a relaxed Ac2HoTl3 crystal. The functional is PBE.

Calculated values
Polymorph energy (0 for the lowest one)   0.88 eV per formula unit
DOS(E_F)   0.931 states/eV per atom
Space-group type   Cmcm, No. 63
Calculated formation energy   -0.192 eV per atom
Raw total energy   -42.1 eV per cell
Density   9.72 g/cm3

Cell: 14.989 14.989 7.270 Å, 90.00 90.00 165.07°
Element x y z (fractional)
Ac  0.011  0.989  0.750
Ac  0.163  0.837  0.250
Ac  0.837  0.163  0.750
Ac  0.989  0.011  0.250
Ho  0.343  0.657  0.250
Ho  0.657  0.343  0.750
Tl  0.241  0.759  0.750
Tl  0.422  0.578  0.535
Tl  0.422  0.578  0.965
Tl  0.578  0.422  0.035
Tl  0.578  0.422  0.465
Tl  0.759  0.241  0.250


(2)
This record from the Alexandria database describes a relaxed AcHo2Tl crystal. The functional is PBE.

Calculated values
Polymorph energy (0 for the lowest one)   0.72 eV per formula unit
DOS(E_F)   1.315 states/eV per atom
Space-group type   R3m, No. 160
Calculated formation energy   0.036 eV per atom
Raw total energy   -46.5 eV per cell
Density   8.95 g/cm3

Cell: 5.227 5.227 17.908 Å, 90.00 90.00 120.00°
Element x y z (fractional)
Ac  0.000  0.000  0.000
Ac  0.333  0.667  0.667
Ac  0.667  0.333  0.333
Ho  0.000  0.000  0.550
Ho  0.000  0.000  0.785
Ho  0.333  0.667  0.216
Ho  0.333  0.667  0.452
Ho  0.667  0.333  0.119
Ho  0.667  0.333  0.883
Tl  0.000  0.000  0.204
Tl  0.333  0.667  0.871
Tl  0.667  0.333  0.537


(3)
This record from the Alexandria database describes a relaxed Ac3HoTl3 crystal. The functional is PBE.

Calculated values
DOS(E_F)   1.006 states/eV per atom
Space-group type   C2/m, No. 12
Calculated formation energy   -0.210 eV per atom
Raw total energy   -50.9 eV per cell
Density   9.48 g/cm3

Cell: 7.297 7.297 10.001 Å, 92.32 92.32 105.76°
Element x y z (fractional)
Ac  0.177  0.823  0.000
Ac  0.249  0.751  0.500
Ac  0.399  0.399  0.184
Ac  0.601  0.601  0.816
Ac  0.751  0.249  0.500
Ac  0.823  0.177  0.000
Ho  0.261  0.261  0.547
Ho  0.739  0.739  0.453
Tl  0.028  0.028  0.278
Tl  0.075  0.460  0.767
Tl  0.460  0.075  0.767
Tl  0.540  0.925  0.233
Tl  0.925  0.540  0.233
Tl  0.972  0.972  0.722


(4)
This record from the Alexandria database describes a relaxed Ac2HoTl crystal. The functional is PBE.

Calculated values
Polymorph energy (0 for the lowest one)   0.91 eV per formula unit
DOS(E_F)   1.128 states/eV per atom
Space-group type   R-3m, No. 166
Calculated formation energy   0.128 eV per atom
Raw total energy   -43.9 eV per cell
Density   8.48 g/cm3

Cell: 3.802 3.802 38.631 Å, 90.00 90.00 120.00°
Element x y z (fractional)
Ac  0.000  0.000  0.090
Ac  0.000  0.000  0.910
Ac  0.333  0.667  0.577
Ac  0.333  0.667  0.756
Ac  0.667  0.333  0.244
Ac  0.667  0.333  0.423
Ho  0.000  0.000  0.500
Ho  0.333  0.667  0.167
Ho  0.667  0.333  0.833
Tl  0.000  0.000  0.000
Tl  0.333  0.667  0.667
Tl  0.667  0.333  0.333


(5)
This record from the Alexandria database describes a relaxed Ac3Ho2Tl4 crystal. The functional is PBE.

Calculated values
Polymorph energy (0 for the lowest one)   0.16 eV per formula unit
DOS(E_F)   0.842 states/eV per atom
Space-group type   C2/m, No. 12
Calculated formation energy   -0.265 eV per atom
Raw total energy   -33.3 eV per cell
Density   9.65 g/cm3

Cell: 6.697 6.697 10.299 Å, 93.14 93.14 43.04°
Element x y z (fractional)
Ac  0.000  0.000  0.000
Ac  0.383  0.383  0.609
Ac  0.617  0.617  0.391
Ho  0.311  0.311  0.225
Ho  0.689  0.689  0.775
Tl  0.085  0.085  0.635
Tl  0.309  0.309  0.922
Tl  0.691  0.691  0.078
Tl  0.915  0.915  0.365


(6)
This record from the Alexandria database describes a relaxed Ac3HoTl12 crystal. The functional is PBE.

Calculated values
DOS(E_F)   0.452 states/eV per atom
Space-group type   P4/mmm, No. 123
Calculated formation energy   -0.280 eV per atom
Raw total energy   -49.8 eV per cell
Density   11.29 g/cm3

Cell: 4.948 4.948 19.817 Å, 90.00 90.00 90.00°
Element x y z (fractional)
Ac  0.000  0.000  0.000
Ac  0.000  0.000  0.259
Ac  0.000  0.000  0.741
Ho  0.000  0.000  0.500
Tl  0.000  0.500  0.129
Tl  0.000  0.500  0.385
Tl  0.000  0.500  0.615
Tl  0.000  0.500  0.871
Tl  0.500  0.000  0.129
Tl  0.500  0.000  0.385
Tl  0.500  0.000  0.615
Tl  0.500  0.000  0.871
Tl  0.500  0.500  0.000
Tl  0.500  0.500  0.252
Tl  0.500  0.500  0.500
Tl  0.500  0.500  0.748


(7)
This record from the Alexandria database describes a relaxed Ac2Ho3Tl2 crystal. The functional is PBE.

Calculated values
DOS(E_F)   1.195 states/eV per atom
Space-group type   C2/m, No. 12
Calculated formation energy   -0.161 eV per atom
Raw total energy   -55.6 eV per cell
Density   9.37 g/cm3

Cell: 12.755 4.795 8.488 Å, 90.00 112.00 90.00°
Element x y z (fractional)
Ac  0.140  0.000  0.288
Ac  0.360  0.500  0.712
Ac  0.640  0.500  0.288
Ac  0.860  0.000  0.712
Ho  0.000  0.500  0.500
Ho  0.127  0.500  0.941
Ho  0.373  0.000  0.059
Ho  0.500  0.000  0.500
Ho  0.627  0.000  0.941
Ho  0.873  0.500  0.059
Tl  0.156  0.000  0.718
Tl  0.344  0.500  0.282
Tl  0.656  0.500  0.718
Tl  0.844  0.000  0.282


(8)
This record from the Alexandria database describes a relaxed AcHo3Tl crystal. The functional is PBE.

Calculated values
DOS(E_F)   1.565 states/eV per atom
Space-group type   P6_3/mmc, No. 194
Calculated formation energy   0.079 eV per atom
Raw total energy   -39.6 eV per cell
Density   8.75 g/cm3

Cell: 8.005 8.005 6.335 Å, 90.00 90.00 120.00°
Element x y z (fractional)
Ac  0.333  0.667  0.250
Ac  0.667  0.333  0.750
Ho  0.191  0.382  0.750
Ho  0.191  0.809  0.750
Ho  0.382  0.191  0.250
Ho  0.618  0.809  0.750
Ho  0.809  0.191  0.250
Ho  0.809  0.618  0.250
Tl  0.000  0.000  0.000
Tl  0.000  0.000  0.500